Record 1
Ba2ThS4 | PBE-GGA | optimized geometry

Properties
ρ: 4844 kg/m3
total magnetization: 0.00 μB per formula unit
calculated total energy: -6.0522 eV per atom

Unit cell a=7.777 b=12.721 c=4.400 alpha=90.00 beta=90.00 gamma=90.00
Fractional positions:
Ba  0.079  0.182  0.000
Ba  0.421  0.682  0.000
Ba  0.579  0.318  0.000
Ba  0.921  0.818  0.000
Th  0.000  0.500  0.500
Th  0.500  0.000  0.500
S  0.135  0.699  0.500
S  0.220  0.452  0.000
S  0.280  0.952  0.000
S  0.365  0.199  0.500
S  0.635  0.801  0.500
S  0.720  0.048  0.000
S  0.780  0.548  0.000
S  0.865  0.301  0.500

***

Record 2
Ba2TmS3 | PBE-GGA | optimized geometry

Properties
ρ: 5375 kg/m3
total magnetization: 0.04 μB per formula unit
calculated total energy: -5.4264 eV per atom

Unit cell a=4.212 b=4.212 c=10.854 alpha=90.00 beta=90.00 gamma=120.00
Fractional positions:
Ba  0.333  0.667  0.178
Ba  0.667  0.333  0.822
Tm  0.000  0.000  0.500
S  0.000  0.000  0.000
S  0.333  0.667  0.630
S  0.667  0.333  0.370

***

Record 3
BaTmS2 | PBE-GGA | optimized geometry

Properties
ρ: 5786 kg/m3
total magnetization: 0.00 μB per formula unit
calculated total energy: -5.5976 eV per atom

Unit cell a=7.276 b=4.210 c=13.883 alpha=90.00 beta=90.00 gamma=90.00
Fractional positions:
Ba  0.090  0.250  0.139
Ba  0.410  0.750  0.639
Ba  0.590  0.250  0.361
Ba  0.910  0.750  0.861
Tm  0.079  0.750  0.392
Tm  0.421  0.250  0.892
Tm  0.579  0.750  0.108
Tm  0.921  0.250  0.608
S  0.163  0.250  0.755
S  0.220  0.250  0.488
S  0.280  0.750  0.988
S  0.337  0.750  0.255
S  0.663  0.250  0.745
S  0.720  0.250  0.012
S  0.780  0.750  0.512
S  0.837  0.750  0.245

***

Record 4
BaTmS2 | PBE-GGA | optimized geometry

Properties
ρ: 5852 kg/m3
total magnetization: 0.00 μB per formula unit
calculated total energy: -5.3636 eV per atom

Unit cell a=4.212 b=4.212 c=5.925 alpha=90.00 beta=90.00 gamma=90.00
Fractional positions:
Ba  0.000  0.000  0.000
Tm  0.500  0.500  0.500
S  0.000  0.000  0.500
S  0.500  0.500  0.000

***

Record 5
BaTmZnS3 | PBE-GGA | optimized geometry

Properties
ρ: 5435 kg/m3
total magnetization: 0.01 μB per formula unit
calculated total energy: -4.8588 eV per atom

Unit cell a=7.107 b=7.107 c=10.194 alpha=90.00 beta=90.00 gamma=146.27
Fractional positions:
Ba  0.247  0.753  0.750
Ba  0.753  0.247  0.250
Tm  0.500  0.500  0.000
Tm  0.500  0.500  0.500
Zn  0.025  0.975  0.250
Zn  0.975  0.025  0.750
S  0.129  0.871  0.064
S  0.129  0.871  0.436
S  0.435  0.565  0.250
S  0.565  0.435  0.750
S  0.871  0.129  0.564
S  0.871  0.129  0.936

***

Record 6
Ba3US6 | PBE-GGA | optimized geometry

Properties
ρ: 4176 kg/m3
total magnetization: 0.00 μB per formula unit
calculated total energy: -5.9425 eV per atom

Unit cell a=8.754 b=8.754 c=8.754 alpha=91.59 beta=91.59 gamma=91.59
Fractional positions:
Ba  0.070  0.574  0.752
Ba  0.248  0.930  0.426
Ba  0.426  0.248  0.930
Ba  0.574  0.752  0.070
Ba  0.752  0.070  0.574
Ba  0.930  0.426  0.248
U  0.000  0.000  0.000
U  0.500  0.500  0.500
S  0.048  0.929  0.720
S  0.071  0.280  0.952
S  0.222  0.564  0.428
S  0.280  0.952  0.071
S  0.428  0.222  0.564
S  0.436  0.572  0.778
S  0.564  0.428  0.222
S  0.572  0.778  0.436
S  0.720  0.048  0.929
S  0.778  0.436  0.572
S  0.929  0.720  0.048
S  0.952  0.071  0.280

***

Record 7
BaUS3 | PBE-GGA | optimized geometry

Properties
ρ: 5559 kg/m3
total magnetization: 2.00 μB per formula unit
calculated total energy: -6.8356 eV per atom

Unit cell a=7.475 b=10.362 c=7.275 alpha=90.00 beta=90.00 gamma=90.00
Fractional positions:
Ba  0.052  0.250  0.015
Ba  0.448  0.750  0.515
Ba  0.552  0.250  0.485
Ba  0.948  0.750  0.985
U  0.000  0.000  0.500
U  0.000  0.500  0.500
U  0.500  0.000  0.000
U  0.500  0.500  0.000
S  0.021  0.750  0.415
S  0.211  0.545  0.790
S  0.211  0.955  0.790
S  0.289  0.045  0.290
S  0.289  0.455  0.290
S  0.479  0.250  0.915
S  0.521  0.750  0.085
S  0.711  0.545  0.710
S  0.711  0.955  0.710
S  0.789  0.045  0.210
S  0.789  0.455  0.210
S  0.979  0.250  0.585

***

Record 8
BaWS3 | PBE-GGA | optimized geometry

Properties
ρ: 5940 kg/m3
total magnetization: 1.24 μB per formula unit
calculated total energy: -6.5577 eV per atom

Unit cell a=6.767 b=6.767 c=5.884 alpha=90.00 beta=90.00 gamma=119.99
Fractional positions:
Ba  0.166  0.834  0.500
Ba  0.834  0.166  0.000
W  0.500  0.500  0.249
W  0.500  0.500  0.749
S  0.167  0.333  0.499
S  0.333  0.167  0.999
S  0.333  0.667  0.000
S  0.667  0.333  0.500
S  0.667  0.833  0.499
S  0.833  0.667  0.999

***

Record 9
BaWS3 | PBE-GGA | optimized geometry

Properties
ρ: 5900 kg/m3
total magnetization: 1.27 μB per formula unit
calculated total energy: -6.5629 eV per atom

Unit cell a=5.955 b=6.767 c=6.768 alpha=119.66 beta=93.87 gamma=93.76
Fractional positions:
Ba  0.000  0.000  0.000
Ba  0.499  0.659  0.343
W  0.257  0.323  0.668
W  0.757  0.326  0.665
S  0.009  0.490  0.500
S  0.044  0.496  0.997
S  0.469  0.157  0.334
S  0.510  0.159  0.833
S  0.544  0.656  0.837
S  0.970  0.992  0.499

***

Record 10
BaYZnS3 | PBE-GGA | optimized geometry

Properties
ρ: 4410 kg/m3
total magnetization: 0.10 μB per formula unit
calculated total energy: -5.2069 eV per atom

Unit cell a=7.163 b=7.163 c=10.362 alpha=90.00 beta=90.00 gamma=146.68
Fractional positions:
Ba  0.247  0.753  0.750
Ba  0.753  0.247  0.250
Y  0.500  0.500  0.000
Y  0.500  0.500  0.500
Zn  0.027  0.973  0.250
Zn  0.973  0.027  0.750
S  0.132  0.868  0.068
S  0.132  0.868  0.432
S  0.435  0.565  0.250
S  0.565  0.435  0.750
S  0.868  0.132  0.568
S  0.868  0.132  0.932

***

Record 11
BaZnS2 | PBE-GGA | optimized geometry

Properties
ρ: 4147 kg/m3
calculated total energy: -4.2301 eV per atom

Unit cell a=4.180 b=14.126 c=7.238 alpha=90.00 beta=90.00 gamma=90.00
Fractional positions:
Ba  0.000  0.107  0.000
Ba  0.000  0.393  0.307
Ba  0.000  0.607  0.807
Ba  0.000  0.893  0.500
Zn  0.500  0.116  0.534
Zn  0.500  0.337  0.797
Zn  0.500  0.663  0.297
Zn  0.500  0.884  0.034
S  0.000  0.201  0.574
S  0.000  0.799  0.074
S  0.500  0.014  0.271
S  0.500  0.272  0.068
S  0.500  0.458  0.612
S  0.500  0.542  0.112
S  0.500  0.728  0.568
S  0.500  0.986  0.771

***

Record 12
Ba2ZnS3 | PBE-GGA | optimized geometry

Properties
ρ: 4442 kg/m3
calculated total energy: -4.5758 eV per atom

Unit cell a=8.886 b=4.282 c=17.145 alpha=90.00 beta=90.00 gamma=90.00
Fractional positions:
Ba  0.081  0.250  0.213
Ba  0.248  0.250  0.956
Ba  0.252  0.750  0.456
Ba  0.419  0.750  0.713
Ba  0.581  0.250  0.287
Ba  0.748  0.250  0.544
Ba  0.752  0.750  0.044
Ba  0.919  0.750  0.787
Zn  0.135  0.250  0.635
Zn  0.365  0.750  0.135
Zn  0.635  0.250  0.865
Zn  0.865  0.750  0.365
S  0.007  0.750  0.601
S  0.130  0.750  0.072
S  0.180  0.250  0.771
S  0.320  0.750  0.271
S  0.370  0.250  0.572
S  0.493  0.250  0.101
S  0.507  0.750  0.899
S  0.630  0.750  0.428
S  0.680  0.250  0.729
S  0.820  0.750  0.229
S  0.870  0.250  0.928
S  0.993  0.250  0.399

***

- Among the records above, which one has the highest calculated total energy?
  BaZnS2

***

- Which value of calculated total energy does entry 3 give?
  -5.5976 eV per atom

***

- Look up the calculated total energy of the twelfth one.
  -4.5758 eV per atom